Entry 1:
## In2MoPt (PBEsol)

Data for an optimized crystal structure of In2MoPt.

```
data_In2MoPt
_chemical_formula_sum 'In2 Mo1 Pt1'
_space_group_name_H-M_alt 'P 1'
_space_group_IT_number 1
_cell_length_a 4.613
_cell_length_b 4.613
_cell_length_c 4.613
_cell_angle_alpha 60.00
_cell_angle_beta 60.00
_cell_angle_gamma 60.00
loop_
_space_group_symop_operation_xyz
'x,y,z'
loop_
_atom_site_label
_atom_site_fract_x
_atom_site_fract_y
_atom_site_fract_z
In1 0.250 0.250 0.250
In2 0.750 0.750 0.750
Mo1 0.000 0.000 0.000
Pt1 0.500 0.500 0.500
```

Summary:
- energy of formation from the pure elements (meV/atom) = 134
- N(E_F) (states/eV per cell) = 4.683
- electronic total energy (eV/atom) = -6.04
- energy above the most stable polymorph in this dataset (eV/f.u.) = 0.16
- SG = Fm-3m (225)

=====

Entry 2:
## HoGe2Rh2 (PBEsol)

Data for an optimized crystal structure of HoGe2Rh2.

```
data_HoGe2Rh2
_chemical_formula_sum 'Ho1 Ge2 Rh2'
_space_group_name_H-M_alt 'P 1'
_space_group_IT_number 1
_cell_length_a 4.064
_cell_length_b 4.064
_cell_length_c 5.859
_cell_angle_alpha 110.29
_cell_angle_beta 110.29
_cell_angle_gamma 90.00
loop_
_space_group_symop_operation_xyz
'x,y,z'
loop_
_atom_site_label
_atom_site_fract_x
_atom_site_fract_y
_atom_site_fract_z
Ge1 0.620 0.620 0.241
Ge2 0.380 0.380 0.759
Rh1 0.250 0.750 0.500
Rh2 0.750 0.250 0.500
Ho1 0.000 0.000 0.000
```

Summary:
- energy of formation from the pure elements (meV/atom) = -913
- N(E_F) (states/eV per cell) = 2.309
- electronic total energy (eV/atom) = -7.13
- SG = I4/mmm (139)

=====

Entry 3:
## ZnGaSe2Br (PBEsol)

Data for an optimized crystal structure of ZnGaSe2Br.

```
data_ZnGaSe2Br
_chemical_formula_sum 'Zn1 Ga1 Se2 Br1'
_space_group_name_H-M_alt 'P 1'
_space_group_IT_number 1
_cell_length_a 4.947
_cell_length_b 4.947
_cell_length_c 4.968
_cell_angle_alpha 90.00
_cell_angle_beta 90.00
_cell_angle_gamma 90.00
loop_
_space_group_symop_operation_xyz
'x,y,z'
loop_
_atom_site_label
_atom_site_fract_x
_atom_site_fract_y
_atom_site_fract_z
Zn1 0.500 0.500 0.500
Ga1 0.000 0.000 0.000
Se1 0.000 0.500 0.000
Se2 0.500 0.000 0.000
Br1 0.000 0.000 0.500
```

Summary:
- uncorrected formation energy (meV/atom) = 211.4
- N(E_F) (states/eV per cell) = 3.175
- electronic total energy (eV/atom) = -2.69
- SG = P4/mmm (123)

=====

Entry 4:
## CuNi (PBEsol)

Data for an optimized crystal structure of CuNi.

```
data_CuNi
_chemical_formula_sum 'Cu2 Ni2'
_space_group_name_H-M_alt 'P 1'
_space_group_IT_number 1
_cell_length_a 2.468
_cell_length_b 4.303
_cell_length_c 4.706
_cell_angle_alpha 115.91
_cell_angle_beta 105.20
_cell_angle_gamma 90.00
loop_
_space_group_symop_operation_xyz
'x,y,z'
loop_
_atom_site_label
_atom_site_fract_x
_atom_site_fract_y
_atom_site_fract_z
Ni1 0.872 0.537 0.744
Ni2 0.128 0.463 0.256
Cu1 0.377 0.043 0.753
Cu2 0.623 0.957 0.247
```

Summary:
- energy of formation from the pure elements (meV/atom) = 37
- N(E_F) (states/eV per cell) = 4.325
- electronic total energy (eV/atom) = -5.21
- SG = C2/m (12)

=====

Entry 5:
## Ba2Nb6Te2O21 (PBEsol)

Data for an optimized crystal structure of Ba2Nb6Te2O21.

```
data_Ba2Nb6Te2O21
_chemical_formula_sum 'Ba2 Nb6 Te2 O21'
_space_group_name_H-M_alt 'P 1'
_space_group_IT_number 1
_cell_length_a 5.712
_cell_length_b 8.887
_cell_length_c 9.693
_cell_angle_alpha 96.45
_cell_angle_beta 90.00
_cell_angle_gamma 108.75
loop_
_space_group_symop_operation_xyz
'x,y,z'
loop_
_atom_site_label
_atom_site_fract_x
_atom_site_fract_y
_atom_site_fract_z
Ba1 0.860 0.719 0.469
Ba2 0.140 0.281 0.531
Nb1 0.677 0.354 0.172
Nb2 0.323 0.646 0.828
Nb3 0.481 0.961 0.338
Nb4 0.519 0.039 0.662
Nb5 0.099 0.198 0.916
Nb6 0.901 0.802 0.084
Te1 0.725 0.451 0.751
Te2 0.275 0.549 0.249
O1 0.582 0.165 0.280
O2 0.418 0.835 0.720
O3 0.792 0.583 0.156
O4 0.208 0.417 0.844
O5 0.000 0.000 0.000
O6 0.824 0.133 0.779
O7 0.691 0.867 0.221
O8 0.176 0.867 0.221
O9 0.309 0.133 0.779
O10 0.100 0.706 0.946
O11 0.725 0.000 0.500
O12 0.275 0.000 0.500
O13 0.358 0.716 0.399
O14 0.642 0.284 0.601
O15 0.458 0.436 0.333
O16 0.022 0.564 0.667
O17 0.542 0.564 0.667
O18 0.978 0.436 0.333
O19 0.606 0.706 0.946
O20 0.900 0.294 0.054
O21 0.394 0.294 0.054
```

Summary:
- uncorrected formation energy (meV/atom) = -2374.4
- N(E_F) (states/eV per cell) = 0.000
- electronic total energy (eV/atom) = -8.39
- SG = C2/m (12)

=====

Entry 6:
## LiZn2Ag (PBEsol)

Data for an optimized crystal structure of LiZn2Ag.

```
data_LiZn2Ag
_chemical_formula_sum 'Li1 Zn2 Ag1'
_space_group_name_H-M_alt 'P 1'
_space_group_IT_number 1
_cell_length_a 2.691
_cell_length_b 5.104
_cell_length_c 5.079
_cell_angle_alpha 116.61
_cell_angle_beta 99.30
_cell_angle_gamma 101.87
loop_
_space_group_symop_operation_xyz
'x,y,z'
loop_
_atom_site_label
_atom_site_fract_x
_atom_site_fract_y
_atom_site_fract_z
Zn1 0.000 0.000 0.500
Zn2 0.500 0.500 0.500
Ag1 0.500 0.000 0.000
Li1 0.000 0.500 0.000
```

Summary:
- energy of formation from the pure elements (meV/atom) = -124
- N(E_F) (states/eV per cell) = 0.946
- electronic total energy (eV/atom) = -2.23
- SG = C2/m (12)

=====

Entry 7:
## MgTi2Co2 (PBEsol)

Data for an optimized crystal structure of MgTi2Co2.

```
data_MgTi2Co2
_chemical_formula_sum 'Mg2 Ti4 Co4'
_space_group_name_H-M_alt 'P 1'
_space_group_IT_number 1
_cell_length_a 2.832
_cell_length_b 7.030
_cell_length_c 7.030
_cell_angle_alpha 90.00
_cell_angle_beta 90.00
_cell_angle_gamma 90.00
loop_
_space_group_symop_operation_xyz
'x,y,z'
loop_
_atom_site_label
_atom_site_fract_x
_atom_site_fract_y
_atom_site_fract_z
Mg1 0.000 0.000 0.000
Mg2 0.000 0.500 0.500
Co1 0.000 0.362 0.862
Co2 0.000 0.862 0.638
Co3 0.000 0.638 0.138
Co4 0.000 0.138 0.362
Ti1 0.500 0.154 0.654
Ti2 0.500 0.654 0.846
Ti3 0.500 0.846 0.346
Ti4 0.500 0.346 0.154
```

Summary:
- energy of formation from the pure elements (meV/atom) = -251
- N(E_F) (states/eV per cell) = 8.114
- electronic total energy (eV/atom) = -7.02
- SG = P4/mbm (127)

=====

Entry 8:
## KOs2Rh (PBEsol)

Data for an optimized crystal structure of KOs2Rh.

```
data_KOs2Rh
_chemical_formula_sum 'K1 Os2 Rh1'
_space_group_name_H-M_alt 'P 1'
_space_group_IT_number 1
_cell_length_a 2.630
_cell_length_b 4.956
_cell_length_c 4.956
_cell_angle_alpha 90.00
_cell_angle_beta 90.00
_cell_angle_gamma 90.00
loop_
_space_group_symop_operation_xyz
'x,y,z'
loop_
_atom_site_label
_atom_site_fract_x
_atom_site_fract_y
_atom_site_fract_z
K1 0.500 0.000 0.000
Os1 0.000 0.000 0.500
Os2 0.000 0.500 0.000
Rh1 0.500 0.500 0.500
```

Summary:
- energy of formation from the pure elements (meV/atom) = 1713
- N(E_F) (states/eV per cell) = 5.991
- electronic total energy (eV/atom) = -6.71
- energy above the most stable polymorph in this dataset (eV/f.u.) = 4.06
- SG = P4/mmm (123)

=====

Entry 9:
## CsAs2WSe (PBEsol)

Data for an optimized crystal structure of CsAs2WSe.

```
data_CsAs2WSe
_chemical_formula_sum 'Cs1 As2 W1 Se1'
_space_group_name_H-M_alt 'P 1'
_space_group_IT_number 1
_cell_length_a 4.935
_cell_length_b 4.935
_cell_length_c 5.123
_cell_angle_alpha 90.00
_cell_angle_beta 90.00
_cell_angle_gamma 90.00
loop_
_space_group_symop_operation_xyz
'x,y,z'
loop_
_atom_site_label
_atom_site_fract_x
_atom_site_fract_y
_atom_site_fract_z
Cs1 0.500 0.500 0.500
As1 0.000 0.500 0.000
As2 0.500 0.000 0.000
Se1 0.000 0.000 0.500
W1 0.000 0.000 0.000
```

Summary:
- uncorrected formation energy (meV/atom) = -18.2
- N(E_F) (states/eV per cell) = 3.588
- electronic total energy (eV/atom) = -5.78
- SG = P4/mmm (123)

=====

Entry 10:
## SrIn (PBEsol)

Data for an optimized crystal structure of SrIn.

```
data_SrIn
_chemical_formula_sum 'Sr3 In3'
_space_group_name_H-M_alt 'P 1'
_space_group_IT_number 1
_cell_length_a 4.675
_cell_length_b 6.912
_cell_length_c 7.589
_cell_angle_alpha 117.07
_cell_angle_beta 107.94
_cell_angle_gamma 90.00
loop_
_space_group_symop_operation_xyz
'x,y,z'
loop_
_atom_site_label
_atom_site_fract_x
_atom_site_fract_y
_atom_site_fract_z
Sr1 0.331 0.034 0.663
Sr2 0.028 0.501 0.056
Sr3 0.724 0.427 0.449
In1 0.028 0.000 0.055
In2 0.644 0.885 0.288
In3 0.412 0.653 0.823
```

Summary:
- energy of formation from the pure elements (meV/atom) = -367
- N(E_F) (states/eV per cell) = 2.717
- electronic total energy (eV/atom) = -2.78
- SG = Imm2 (44)

=====

Entry 11:
## Na4Ge2Se5 (PBEsol)

Data for an optimized crystal structure of Na4Ge2Se5.

```
data_Na4Ge2Se5
_chemical_formula_sum 'Na8 Ge4 Se10'
_space_group_name_H-M_alt 'P 1'
_space_group_IT_number 1
_cell_length_a 6.987
_cell_length_b 8.089
_cell_length_c 10.598
_cell_angle_alpha 73.60
_cell_angle_beta 71.08
_cell_angle_gamma 82.04
loop_
_space_group_symop_operation_xyz
'x,y,z'
loop_
_atom_site_label
_atom_site_fract_x
_atom_site_fract_y
_atom_site_fract_z
Na1 0.205 0.000 0.591
Na2 0.795 0.000 0.409
Na3 0.909 0.522 0.686
Na4 0.091 0.478 0.314
Na5 0.500 0.500 0.500
Na6 0.000 0.000 0.000
Na7 0.273 0.489 0.897
Na8 0.727 0.511 0.103
Ge1 0.427 0.844 0.230
Ge2 0.573 0.156 0.770
Ge3 0.382 0.157 0.167
Ge4 0.618 0.843 0.833
Se1 0.054 0.244 0.156
Se2 0.946 0.756 0.844
Se3 0.646 0.256 0.948
Se4 0.354 0.744 0.052
Se5 0.839 0.252 0.570
Se6 0.161 0.748 0.430
Se7 0.534 0.746 0.671
Se8 0.466 0.254 0.329
Se9 0.254 0.245 0.744
Se10 0.746 0.755 0.256
```

Summary:
- uncorrected formation energy (meV/atom) = -789.4
- N(E_F) (states/eV per cell) = 0.000
- electronic total energy (eV/atom) = -3.95
- SG = P-1 (2)

=====

Entry 12:
## CaSb2 (PBEsol)

Data for an optimized crystal structure of CaSb2.

```
data_CaSb2
_chemical_formula_sum 'Ca2 Sb4'
_space_group_name_H-M_alt 'P 1'
_space_group_IT_number 1
_cell_length_a 4.237
_cell_length_b 4.590
_cell_length_c 8.686
_cell_angle_alpha 74.68
_cell_angle_beta 90.00
_cell_angle_gamma 90.00
loop_
_space_group_symop_operation_xyz
'x,y,z'
loop_
_atom_site_label
_atom_site_fract_x
_atom_site_fract_y
_atom_site_fract_z
Sb1 0.250 0.938 0.124
Sb2 0.250 0.244 0.512
Sb3 0.750 0.756 0.488
Sb4 0.750 0.062 0.876
Ca1 0.250 0.603 0.794
Ca2 0.750 0.397 0.206
```

Summary:
- uncorrected formation energy (meV/atom) = -659.7
- N(E_F) (states/eV per cell) = 1.533
- electronic total energy (eV/atom) = -4.41
- SG = Cmcm (63)